Record 1
Tb2PdPt3 (GGA-PBE, optimized geometry); polymorph energy (0 for the lowest one) = 255.4 meV per atom; DFT formation energy = -0.746 eV per atom; crystal system = orthorhombic
1.0
7.7272 0.0000 0.0000
0.0000 8.3230 0.0000
-3.8636 -4.1615 4.2359
Pd Tb Pt
2 4 6
Cartesian
0.0000 0.0000 0.0000
0.0000 4.1615 0.0000
2.2960 4.1615 1.5396
-1.5676 4.1615 2.6963
5.4312 0.0000 1.5396
1.5676 0.0000 2.6963
3.8636 6.2422 0.0000
3.8636 2.0807 2.6575
0.0000 2.0807 1.5784
3.8636 -2.0807 2.6575
3.8636 2.0807 0.0000
0.0000 6.2422 1.5784


Record 2
YH3Pt3 (GGA-PBE, optimized geometry); crystal system = hexagonal
1.0
4.7289 0.0000 0.0000
0.0000 5.4822 -3.1652
0.0000 0.0000 6.3303
H Y Pt
6 2 6
Cartesian
1.1822 4.8904 -0.0002
1.1822 3.0371 1.0702
3.5467 0.5918 3.1653
1.1822 3.0369 -1.0700
3.5467 2.4451 2.0950
3.5467 2.4454 4.2352
1.1822 1.8274 3.1652
3.5467 3.6548 0.0000
1.1822 1.5994 0.0003
3.5467 3.8828 3.1649
1.1822 4.6828 1.7799
3.5467 0.8000 4.9453
3.5467 0.7995 1.3853
1.1822 4.6823 -1.7802


Record 3
AcTbSm (GGA-PBE, optimized geometry); polymorph energy (0 for the lowest one) = 36.3 meV per atom; DFT formation energy = 0.085 eV per atom; crystal system = orthorhombic
1.0
5.8762 0.0000 0.0000
-0.0001 6.1578 0.0000
0.0000 0.0000 12.2631
Sm Tb Ac
4 4 4
Cartesian
4.4071 4.9821 0.7951
1.4690 1.9032 5.3365
4.4072 1.1757 6.9266
1.4690 4.2546 11.4681
4.4071 4.2557 5.3237
4.4071 1.9021 11.4553
1.4690 4.9810 6.9394
1.4690 1.1768 0.8079
4.4071 4.6257 9.1920
1.4690 1.5468 9.2027
1.4690 4.6110 3.0711
4.4071 1.5321 3.0605


Record 4
ScTi3Cr (GGA-PBE, optimized geometry); polymorph energy (0 for the lowest one) = 0.0 meV per atom; DFT formation energy = 0.385 eV per atom; crystal system = cubic
1.0
-3.0877 -3.3876 -0.0313
3.0785 -2.8235 1.8870
-1.4139 1.2501 4.1771
Cr Ti Sc
1 3 1
Cartesian
0.0000 0.0000 0.0000
-1.5438 -1.6938 -0.0157
1.5393 -1.4117 0.9435
-0.7069 0.6251 2.0886
-0.7115 -2.4805 3.0164


Record 5
ZnBiIr (GGA-PBE, optimized geometry); polymorph energy (0 for the lowest one) = 82.9 meV per atom; DFT formation energy = 0.036 eV per atom; crystal system = cubic
1.0
-2.6362 -1.8636 3.1202
-3.4992 -2.5272 -1.2356
0.0943 -4.4403 0.6578
Zn Bi Ir
1 1 1
Cartesian
0.0000 0.0000 0.0000
-3.0206 -4.4156 1.2712
-1.5103 -2.2078 0.6356


Record 6
RbInI2 (GGA-PBE, optimized geometry); polymorph energy (0 for the lowest one) = 186.2 meV per atom; crystal system = trigonal; energy relative to the elements, uncorrected = -779.3 meV/atom
1.0
5.5327 0.0000 0.0000
2.7663 4.7915 0.0000
2.7663 1.5972 10.2769
I Rb In
2 1 1
Cartesian
2.7663 1.5971 7.1012
8.2990 4.7915 3.1757
5.5327 3.1943 5.1384
0.0000 0.0000 0.0000


The following density values (in g/cm3) correspond, in order, to the records above: 12.31, 13.70, 8.03, 4.15, 12.11, 2.77.
The following volume values (in Å³ per atom) correspond, in order, to the records above: 22.70, 11.72, 36.98, 19.26, 21.33, 68.11.
The following raw total energy values (in eV/cell) correspond, in order, to the records above: -74.1, -77.3, -52.8, -37.7, -13.9, -9.9.